! TlZnHg | Alexandria via LeMat-Bulk | PBE-GGA | relaxed; values from VASP
&SYSTEM
  ibrav = 0, nat = 3, ntyp = 3
/
ATOMIC_SPECIES
Tl 204.38 Tl.upf
Zn 65.41 Zn.upf
Hg 200.59 Hg.upf
CELL_PARAMETERS angstrom
4.807 0.000 0.000
-2.404 4.163 0.000
0.000 0.000 3.787
ATOMIC_POSITIONS crystal
Tl 0.000 0.000 0.000
Zn 0.333 0.667 0.500
Hg 0.667 0.333 0.500
! Symmetry ... P-6m2
! Energy relative to the lowest polymorph listed for this composition ... 35.5 meV/atom

***

! BaErIrO6 | Alexandria via LeMat-Bulk | PBE-GGA | relaxed; values from VASP
&SYSTEM
  ibrav = 0, nat = 9, ntyp = 4
/
ATOMIC_SPECIES
Ba 137.33 Ba.upf
Er 167.26 Er.upf
Ir 192.22 Ir.upf
O 16.00 O.upf
CELL_PARAMETERS angstrom
5.583 0.000 0.000
-2.792 4.835 0.000
0.000 0.000 5.672
ATOMIC_POSITIONS crystal
Ba 0.000 0.000 0.000
Er 0.333 0.667 0.500
Ir 0.667 0.333 0.500
O 0.395 0.040 0.695
O 0.395 0.355 0.305
O 0.645 0.040 0.305
O 0.645 0.605 0.695
O 0.960 0.355 0.695
O 0.960 0.605 0.305
! Symmetry ... P312
! Uncorrected formation energy ... -184.1 kJ per mole of atoms

***

! K2InBi2O6 | Alexandria via LeMat-Bulk | PBE-GGA | relaxed; values from VASP
&SYSTEM
  ibrav = 0, nat = 11, ntyp = 4
/
ATOMIC_SPECIES
K 39.10 K.upf
In 114.82 In.upf
Bi 208.98 Bi.upf
O 16.00 O.upf
CELL_PARAMETERS angstrom
3.032 -5.205 0.000
3.032 5.205 0.000
-1.915 0.000 6.403
ATOMIC_POSITIONS crystal
K 0.165 0.835 0.000
K 0.835 0.165 0.000
In 0.000 0.000 0.500
Bi 0.335 0.665 0.500
Bi 0.665 0.335 0.500
O 0.048 0.383 0.680
O 0.244 0.244 0.316
O 0.383 0.048 0.680
O 0.617 0.952 0.320
O 0.756 0.756 0.684
O 0.952 0.617 0.320
! Symmetry ... C2/m
! Uncorrected formation energy ... -127.3 kJ per mole of atoms

***

! Gd2MgSc | Alexandria via LeMat-Bulk | PBE-GGA | relaxed; values from VASP
&SYSTEM
  ibrav = 0, nat = 4, ntyp = 3
/
ATOMIC_SPECIES
Gd 157.25 Gd.upf
Mg 24.30 Mg.upf
Sc 44.96 Sc.upf
CELL_PARAMETERS angstrom
0.000 3.826 3.826
3.826 0.000 3.826
3.826 3.826 0.000
ATOMIC_POSITIONS crystal
Gd 0.250 0.250 0.250
Gd 0.750 0.750 0.750
Mg 0.000 0.000 0.000
Sc 0.500 0.500 0.500
! Symmetry ... Fm-3m
! Energy relative to the lowest polymorph listed for this composition ... 41.6 meV/atom

***

! Tb2S3 | Alexandria via LeMat-Bulk | PBE-GGA | relaxed; values from VASP
&SYSTEM
  ibrav = 0, nat = 20, ntyp = 2
/
ATOMIC_SPECIES
Tb 158.93 Tb.upf
S 32.06 S.upf
CELL_PARAMETERS angstrom
10.708 0.000 0.000
0.000 3.897 0.000
0.000 0.000 10.502
ATOMIC_POSITIONS crystal
Tb 0.010 0.250 0.187
Tb 0.192 0.250 0.504
Tb 0.308 0.750 0.004
Tb 0.490 0.750 0.687
Tb 0.510 0.250 0.313
Tb 0.692 0.250 0.996
Tb 0.808 0.750 0.496
Tb 0.990 0.750 0.813
S 0.046 0.750 0.373
S 0.120 0.250 0.945
S 0.228 0.750 0.697
S 0.272 0.250 0.197
S 0.380 0.750 0.445
S 0.454 0.250 0.873
S 0.546 0.750 0.127
S 0.620 0.250 0.555
S 0.728 0.750 0.803
S 0.772 0.250 0.303
S 0.880 0.750 0.055
S 0.954 0.250 0.627
! Symmetry ... Pnma
! Uncorrected formation energy ... -200.8 kJ per mole of atoms

***

! KBe3B | Alexandria via LeMat-Bulk | PBE-GGA | relaxed; values from VASP
&SYSTEM
  ibrav = 0, nat = 5, ntyp = 3
/
ATOMIC_SPECIES
K 39.10 K.upf
Be 9.01 Be.upf
B 10.81 B.upf
CELL_PARAMETERS angstrom
5.576 0.000 0.000
0.000 5.576 0.000
0.000 0.000 5.576
ATOMIC_POSITIONS crystal
K 0.000 0.000 0.000
Be 0.000 0.000 0.500
Be 0.000 0.500 0.000
Be 0.500 0.000 0.000
B 0.500 0.500 0.500
! Symmetry ... Pm-3m
! Energy relative to the lowest polymorph listed for this composition ... 2392.9 meV/atom

***

! Fe4RuS2 | Alexandria via LeMat-Bulk | PBE-GGA | relaxed; values from VASP
&SYSTEM
  ibrav = 0, nat = 7, ntyp = 3
/
ATOMIC_SPECIES
Fe 55.84 Fe.upf
Ru 101.07 Ru.upf
S 32.06 S.upf
CELL_PARAMETERS angstrom
-2.261 2.261 6.075
2.261 -2.261 6.075
2.261 2.261 -6.075
ATOMIC_POSITIONS crystal
Fe 0.000 0.500 0.500
Fe 0.200 0.200 0.000
Fe 0.500 0.000 0.500
Fe 0.800 0.800 0.000
Ru 0.000 0.000 0.000
S 0.380 0.380 0.000
S 0.620 0.620 0.000
! Symmetry ... I4/mmm
! Uncorrected formation energy ... 91.1 kJ per mole of atoms

***

! TlSi2HAu | Alexandria via LeMat-Bulk | PBE-GGA | relaxed; values from VASP
&SYSTEM
  ibrav = 0, nat = 5, ntyp = 4
/
ATOMIC_SPECIES
Tl 204.38 Tl.upf
Si 28.09 Si.upf
H 1.01 H.upf
Au 196.97 Au.upf
CELL_PARAMETERS angstrom
3.979 0.000 0.000
0.000 3.979 0.000
0.000 0.000 5.422
ATOMIC_POSITIONS crystal
Tl 0.000 0.000 0.000
Si 0.000 0.500 0.500
Si 0.500 0.000 0.500
H 0.500 0.500 0.500
Au 0.500 0.500 0.000
! VASP energy ... -16.8 eV per cell
! Symmetry ... P4/mmm

***

! LaScSe | Alexandria via LeMat-Bulk | PBE-GGA | relaxed; values from VASP
&SYSTEM
  ibrav = 0, nat = 3, ntyp = 3
/
ATOMIC_SPECIES
La 138.91 La.upf
Sc 44.96 Sc.upf
Se 78.96 Se.upf
CELL_PARAMETERS angstrom
4.730 0.000 0.000
-2.365 4.096 0.000
0.000 0.000 4.048
ATOMIC_POSITIONS crystal
La 0.000 0.000 0.000
Sc 0.667 0.333 0.500
Se 0.333 0.667 0.500
! Symmetry ... P-6m2
! Energy relative to the lowest polymorph listed for this composition ... 225.1 meV/atom
! Uncorrected formation energy ... -76.1 kJ per mole of atoms

***

! Hg3SeO | Alexandria via LeMat-Bulk | PBE-GGA | relaxed; values from VASP
&SYSTEM
  ibrav = 0, nat = 5, ntyp = 3
/
ATOMIC_SPECIES
Hg 200.59 Hg.upf
Se 78.96 Se.upf
O 16.00 O.upf
CELL_PARAMETERS angstrom
5.430 0.000 0.000
0.000 5.430 0.000
0.000 0.000 5.430
ATOMIC_POSITIONS crystal
Hg 0.000 0.000 0.500
Hg 0.000 0.500 0.000
Hg 0.500 0.000 0.000
Se 0.000 0.000 0.000
O 0.500 0.500 0.500
! Symmetry ... Pm-3m
! Energy relative to the lowest polymorph listed for this composition ... 712.2 meV/atom
! Uncorrected formation energy ... 62.9 kJ per mole of atoms

***

! AsRh2Se | Alexandria via LeMat-Bulk | PBE-GGA | relaxed; values from VASP
&SYSTEM
  ibrav = 0, nat = 4, ntyp = 3
/
ATOMIC_SPECIES
As 74.92 As.upf
Rh 102.91 Rh.upf
Se 78.96 Se.upf
CELL_PARAMETERS angstrom
2.963 0.000 0.000
0.000 4.247 0.000
0.000 0.000 5.153
ATOMIC_POSITIONS crystal
As 0.000 0.000 0.000
Rh 0.000 0.500 0.500
Rh 0.500 0.500 0.000
Se 0.500 0.000 0.500
! Symmetry ... Pmmm
! Energy relative to the lowest polymorph listed for this composition ... 547.5 meV/atom
! Uncorrected formation energy ... 16.8 kJ per mole of atoms

***

! CdBPt3 | Alexandria via LeMat-Bulk | PBE-GGA | relaxed; values from VASP
&SYSTEM
  ibrav = 0, nat = 10, ntyp = 3
/
ATOMIC_SPECIES
Cd 112.41 Cd.upf
B 10.81 B.upf
Pt 195.08 Pt.upf
CELL_PARAMETERS angstrom
4.959 -2.856 0.000
4.959 2.856 0.000
-3.268 0.000 5.441
ATOMIC_POSITIONS crystal
Cd 0.096 0.096 0.301
Cd 0.904 0.904 0.699
B 0.332 0.332 0.994
B 0.668 0.668 0.006
Pt 0.088 0.580 0.261
Pt 0.417 0.417 0.736
Pt 0.420 0.912 0.739
Pt 0.580 0.088 0.261
Pt 0.583 0.583 0.264
Pt 0.912 0.420 0.739
! Symmetry ... C2/m
! Energy relative to the lowest polymorph listed for this composition ... 0.0 meV/atom

***

! SrZn2CdAu | Alexandria via LeMat-Bulk | PBE-GGA | relaxed; values from VASP
&SYSTEM
  ibrav = 0, nat = 5, ntyp = 4
/
ATOMIC_SPECIES
Sr 87.62 Sr.upf
Zn 65.41 Zn.upf
Cd 112.41 Cd.upf
Au 196.97 Au.upf
CELL_PARAMETERS angstrom
-2.185 2.189 5.991
2.185 -2.189 5.991
2.185 2.189 -5.991
ATOMIC_POSITIONS crystal
Sr 0.000 0.000 0.000
Zn 0.616 0.616 0.000
Zn 0.752 0.252 0.500
Cd 0.248 0.748 0.500
Au 0.399 0.399 0.000
! VASP energy ... -10.3 eV per cell
! Symmetry ... Imm2